Here is a relaxed LiMoPd6 crystal from the Alexandria database. Energies are from PBE-GGA.

As for the space-group type: No. 123. As for the crystal system: tetragonal.

a b c (Å): 3.9335 3.9335 7.7487
angles (deg): 90.00 90.00 90.00
Fractional coordinates of all 8 atoms:
1 Li 0.0000 0.0000 0.0000
2 Mo 0.0000 0.0000 0.5000
3 Pd 0.5000 0.5000 0.0000
4 Pd 0.5000 0.5000 0.5000
5 Pd 0.5000 0.0000 0.2540
6 Pd 0.5000 0.0000 0.7460
7 Pd 0.0000 0.5000 0.2540
8 Pd 0.0000 0.5000 0.7460

=====

Here is a relaxed LiMo2Pd2 crystal from the Alexandria database. Energies are from PBE-GGA.

As for the space-group type: No. 127. As for the crystal system: tetragonal.

a b c (Å): 7.9057 7.9057 2.7104
angles (deg): 90.00 90.00 90.00
Fractional coordinates of all 10 atoms:
1 Mo 0.3870 0.8870 0.0000
2 Mo 0.8870 0.6130 0.0000
3 Mo 0.6130 0.1130 0.0000
4 Mo 0.1130 0.3870 0.0000
5 Pd 0.1796 0.6796 0.5000
6 Pd 0.6796 0.8204 0.5000
7 Pd 0.8204 0.3204 0.5000
8 Pd 0.3204 0.1796 0.5000
9 Li 0.0000 0.0000 0.0000
10 Li 0.5000 0.5000 0.0000

=====

Here is a relaxed LiMo2Pd crystal from the Alexandria database. Energies are from PBE-GGA.

As for the space-group type: No. 225. As for the crystal system: cubic. For the energy above the most stable polymorph in this dataset, the calculation gives 0.00 eV/f.u.

a b c (Å): 4.3882 4.3882 4.3882
angles (deg): 60.00 60.00 60.00
Fractional coordinates of all 4 atoms:
1 Mo 0.2500 0.2500 0.2500
2 Mo 0.7500 0.7500 0.7500
3 Pd 0.5000 0.5000 0.5000
4 Li 0.0000 0.0000 0.0000

=====

Here is a relaxed LiMoPd2 crystal from the Alexandria database. Energies are from PBE-GGA.

As for the space-group type: No. 122. As for the crystal system: tetragonal. For the energy above the most stable polymorph in this dataset, the calculation gives 2.56 eV/f.u.

a b c (Å): 6.7622 6.7622 5.4984
angles (deg): 52.05 52.05 90.00
Fractional coordinates of all 8 atoms:
1 Mo 0.0000 0.0000 0.0000
2 Mo 0.7500 0.2500 0.5000
3 Pd 0.6064 0.1250 0.2500
4 Pd 0.1436 0.6250 0.2500
5 Pd 0.3750 0.3936 0.7500
6 Pd 0.8750 0.8564 0.7500
7 Li 0.5000 0.5000 0.0000
8 Li 0.2500 0.7500 0.5000

=====

Here is a relaxed Li3MoPd crystal from the Alexandria database. Energies are from PBE-GGA.

As for the space-group type: No. 221. As for the crystal system: cubic. For the energy above the most stable polymorph in this dataset, the calculation gives 0.00 eV/f.u.

a b c (Å): 4.3300 4.3300 4.3300
angles (deg): 90.00 90.00 90.00
Fractional coordinates of all 5 atoms:
1 Mo 0.5000 0.5000 0.5000
2 Pd 0.0000 0.0000 0.0000
3 Li 0.0000 0.5000 0.0000
4 Li 0.0000 0.0000 0.5000
5 Li 0.5000 0.0000 0.0000

=====

Here is a relaxed Li2MoPd crystal from the Alexandria database. Energies are from PBE-GGA.

As for the space-group type: No. 225. As for the crystal system: cubic. For the energy above the most stable polymorph in this dataset, the calculation gives 0.00 eV/f.u.

a b c (Å): 4.2384 4.2384 4.2384
angles (deg): 60.00 60.00 60.00
Fractional coordinates of all 4 atoms:
1 Mo 0.0000 0.0000 0.0000
2 Pd 0.5000 0.5000 0.5000
3 Li 0.2500 0.2500 0.2500
4 Li 0.7500 0.7500 0.7500

=====

Here is a relaxed LiMoPd2 crystal from the Alexandria database. Energies are from PBE-GGA.

As for the space-group type: No. 166. As for the crystal system: trigonal. For the energy above the most stable polymorph in this dataset, the calculation gives 0.35 eV/f.u.

a b c (Å): 2.8031 2.8031 8.9255
angles (deg): 80.97 80.97 60.00
Fractional coordinates of all 4 atoms:
1 Mo 0.5000 0.5000 0.5000
2 Pd 0.7479 0.7479 0.7564
3 Pd 0.2521 0.2521 0.2436
4 Li 0.0000 0.0000 0.0000

=====

Here is a relaxed Li2MoPd crystal from the Alexandria database. Energies are from PBE-GGA.

As for the space-group type: No. 122. As for the crystal system: tetragonal. For the energy above the most stable polymorph in this dataset, the calculation gives 0.43 eV/f.u.

a b c (Å): 6.8208 6.8208 5.4617
angles (deg): 51.36 51.36 90.00
Site moments in Bohr magnetons follow the coordinates.
Fractional coordinates of all 8 atoms:
1 Mo 0.5000 0.5000 0.0000  0.47
2 Mo 0.2500 0.7500 0.5000  0.47
3 Pd 0.0000 0.0000 0.0000  0.00
4 Pd 0.7500 0.2500 0.5000  0.00
5 Li 0.6450 0.1250 0.2500  0.01
6 Li 0.1050 0.6250 0.2500  0.01
7 Li 0.3750 0.3550 0.7500  0.01
8 Li 0.8750 0.8950 0.7500  0.01

=====

Here is a relaxed LiMoPd2 crystal from the Alexandria database. Energies are from PBE-GGA.

As for the space-group type: No. 123. As for the crystal system: tetragonal. For the energy above the most stable polymorph in this dataset, the calculation gives 0.55 eV/f.u.

a b c (Å): 2.7250 4.7120 4.7120
angles (deg): 90.00 90.00 90.00
Fractional coordinates of all 4 atoms:
1 Mo 0.5000 0.0000 0.0000
2 Pd 0.0000 0.0000 0.5000
3 Pd 0.0000 0.5000 0.0000
4 Li 0.5000 0.5000 0.5000

=====

Here is a relaxed LiMoPd2 crystal from the Alexandria database. Energies are from PBE-GGA.

As for the space-group type: No. 225. As for the crystal system: cubic. For the energy above the most stable polymorph in this dataset, the calculation gives 1.02 eV/f.u.

a b c (Å): 4.3838 4.3838 4.3838
angles (deg): 60.00 60.00 60.00
Fractional coordinates of all 4 atoms:
1 Mo 0.5000 0.5000 0.5000
2 Pd 0.2500 0.2500 0.2500
3 Pd 0.7500 0.7500 0.7500
4 Li 0.0000 0.0000 0.0000

=====

Here is a relaxed LiMo2Pd crystal from the Alexandria database. Energies are from PBE-GGA.

As for the space-group type: No. 122. As for the crystal system: tetragonal. For the energy above the most stable polymorph in this dataset, the calculation gives 0.31 eV/f.u.

a b c (Å): 7.1931 7.1931 5.6536
angles (deg): 50.49 50.49 90.00
Fractional coordinates of all 8 atoms:
1 Mo 0.6313 0.1250 0.2500
2 Mo 0.1187 0.6250 0.2500
3 Mo 0.3750 0.3687 0.7500
4 Mo 0.8750 0.8813 0.7500
5 Pd 0.0000 0.0000 0.0000
6 Pd 0.7500 0.2500 0.5000
7 Li 0.5000 0.5000 0.0000
8 Li 0.2500 0.7500 0.5000

=====

Here is a relaxed LiMoPd14 crystal from the Alexandria database. Energies are from PBE-GGA.

As for the space-group type: No. 123. As for the crystal system: tetragonal.

a b c (Å): 5.5750 5.5750 7.8044
angles (deg): 90.00 90.00 90.00
Fractional coordinates of all 16 atoms:
1 Li 0.3750 0.3750 0.5000
2 Mo 0.8750 0.8750 0.5000
3 Pd 0.8750 0.8750 0.0000
4 Pd 0.3750 0.3750 0.0000
5 Pd 0.8750 0.3750 0.5000
6 Pd 0.8750 0.3750 0.0000
7 Pd 0.3750 0.8750 0.5000
8 Pd 0.3750 0.8750 0.0000
9 Pd 0.6268 0.1232 0.2571
10 Pd 0.6268 0.1232 0.7429
11 Pd 0.1232 0.6268 0.2571
12 Pd 0.1232 0.6268 0.7429
13 Pd 0.6268 0.6268 0.2571
14 Pd 0.6268 0.6268 0.7429
15 Pd 0.1232 0.1232 0.2571
16 Pd 0.1232 0.1232 0.7429

=====

Here is a relaxed Li2MoPd8 crystal from the Alexandria database. Energies are from PBE-GGA.

As for the space-group type: No. 12. As for the crystal system: monoclinic.

a b c (Å): 4.0737 6.4986 6.4986
angles (deg): 104.78 90.06 90.06
Fractional coordinates of all 11 atoms:
1 Li 0.0000 0.6169 0.3831
2 Li 0.0000 0.3831 0.6169
3 Mo 0.5000 0.0000 0.0000
4 Pd 0.9993 0.9593 0.6937
5 Pd 0.9993 0.6937 0.9593
6 Pd 0.4990 0.6693 0.6693
7 Pd 0.5000 0.2588 0.7412
8 Pd 0.5000 0.7412 0.2588
9 Pd 0.5010 0.3307 0.3307
10 Pd 0.0007 0.3063 0.0407
11 Pd 0.0007 0.0407 0.3063

=====

Here is a relaxed SrLiMoPd2 crystal from the Alexandria database. Energies are from PBE-GGA.

As for the space-group type: No. 123. As for the crystal system: tetragonal.

a b c (Å): 4.8955 4.9228 4.8955
angles (deg): 90.00 90.00 90.00
Site moments in Bohr magnetons follow the coordinates.
Fractional coordinates of all 5 atoms:
1 Sr 0.5000 0.5000 0.5000  0.00
2 Mo 0.0000 0.0000 0.0000  0.45
3 Pd 0.0000 0.0000 0.5000  0.05
4 Pd 0.5000 0.0000 0.0000  0.02
5 Li 0.0000 0.5000 0.0000  0.04

=====

Here is a relaxed LiPmThMo crystal from the Alexandria database. Energies are from PBE-GGA.

As for the space-group type: No. 216. As for the crystal system: cubic.

a b c (Å): 5.1019 5.1019 5.1019
angles (deg): 60.00 60.00 60.00
Fractional coordinates of all 4 atoms:
1 Mo 0.0000 0.0000 0.0000
2 Li 0.5000 0.5000 0.5000
3 Th 0.7500 0.7500 0.7500
4 Pm 0.2500 0.2500 0.2500

=====

Here is a relaxed Li2MoPt crystal from the Alexandria database. Energies are from PBE-GGA.

As for the space-group type: No. 65. As for the crystal system: orthorhombic. For the energy above the most stable polymorph in this dataset, the calculation gives 0.78 eV/f.u.

a b c (Å): 5.1352 5.1352 2.6397
angles (deg): 90.00 90.00 120.37
Fractional coordinates of all 4 atoms:
1 Li 0.0000 0.0000 0.0000
2 Li 0.5000 0.5000 0.0000
3 Mo 0.5000 0.0000 0.5000
4 Pt 0.0000 0.5000 0.5000

=====

Here is a relaxed Li2MoPt crystal from the Alexandria database. Energies are from PBE-GGA.

As for the space-group type: No. 47. As for the crystal system: orthorhombic. For the energy above the most stable polymorph in this dataset, the calculation gives 0.25 eV/f.u.

a b c (Å): 2.7064 4.6769 4.7360
angles (deg): 90.00 90.00 90.00
Fractional coordinates of all 4 atoms:
1 Li 0.0000 0.0000 0.0000
2 Li 0.5000 0.5000 0.0000
3 Mo 0.5000 0.0000 0.5000
4 Pt 0.0000 0.5000 0.5000

=====

Here is a relaxed Li2MoPt crystal from the Alexandria database. Energies are from PBE-GGA.

As for the space-group type: No. 10. As for the crystal system: monoclinic. For the energy above the most stable polymorph in this dataset, the calculation gives 0.23 eV/f.u.

a b c (Å): 4.6761 2.6669 4.7790
angles (deg): 87.16 90.00 90.00
Fractional coordinates of all 4 atoms:
1 Li 0.0000 0.9324 0.9956
2 Li 0.0000 0.5676 0.5044
3 Mo 0.5000 0.2500 0.2500
4 Pt 0.5000 0.7500 0.7500

=====

Here is a relaxed LiMo2Pt crystal from the Alexandria database. Energies are from PBE-GGA.

As for the space-group type: No. 123. As for the crystal system: tetragonal. For the energy above the most stable polymorph in this dataset, the calculation gives 1.29 eV/f.u.

a b c (Å): 3.4273 3.4273 5.1211
angles (deg): 90.00 90.00 90.00
Fractional coordinates of all 4 atoms:
1 Li 0.5000 0.5000 0.7500
2 Mo 0.0000 0.0000 0.9767
3 Mo 0.0000 0.0000 0.5233
4 Pt 0.5000 0.5000 0.2500

=====

Here is a relaxed LiMo2Pt crystal from the Alexandria database. Energies are from PBE-GGA.

As for the space-group type: No. 35. As for the crystal system: orthorhombic. For the energy above the most stable polymorph in this dataset, the calculation gives 0.25 eV/f.u.

a b c (Å): 2.7054 2.7054 8.8477
angles (deg): 90.00 90.00 107.22
Fractional coordinates of all 4 atoms:
1 Li 0.5000 0.5000 0.7367
2 Mo 0.0000 0.0000 0.0062
3 Mo 0.5000 0.5000 0.2523
4 Pt 0.0000 0.0000 0.5048

=====

no.,energy of formation (eV per atom),Fermi-level density of states (states/eV per atom),volume (Å³/atom)
1,-0.191,0.83,15.0
2,0.150,0.85,16.9
3,0.614,1.31,14.9
4,0.438,2.10,15.5
5,0.919,0.93,16.2
6,0.514,1.63,13.5
7,-0.115,0.77,14.9
8,0.622,0.89,14.9
9,-0.066,0.87,15.1
10,0.052,1.75,14.9
11,0.693,0.71,16.0
12,-0.099,1.58,15.2
13,-0.071,1.02,15.1
14,0.416,1.00,23.6
15,0.190,0.57,23.5
16,0.082,0.62,15.0
17,-0.049,0.85,15.0
18,-0.056,0.70,14.9
19,0.244,1.10,15.0
20,-0.016,0.65,15.5